CdFeMo2: relaxed, PBE-GGA.

Lattice parameters (Å, degrees): 5.3217 5.3217 5.3217 145.66 131.76 60.55
Element x y z (fractional)
Cd1 0.0000 0.0000 0.0000
Fe1 0.5000 0.5000 0.0000
Mo1 0.2675 0.7675 0.5000
Mo2 0.7325 0.2325 0.5000

Calculated values
DOS at the Fermi energy ... 0.80 states/eV per atom
DFT formation energy ... 0.374 eV per atom